No. 1
TlH6F8: relaxed, GGA-PBE.

POSCAR file:
```
TlH6F8
1.0
6.149 1.189 1.196
1.187 6.152 -1.186
1.193 -1.186 6.157
H F Tl
6 8 1
Direct
0.064 0.543 0.248
0.543 0.752 0.064
0.248 0.064 0.457
0.752 0.936 0.543
0.457 0.248 0.936
0.936 0.457 0.752
0.364 0.852 0.198
0.851 0.802 0.365
0.636 0.148 0.802
0.198 0.365 0.149
0.149 0.198 0.635
0.802 0.635 0.851
0.330 0.671 0.673
0.670 0.329 0.327
0.000 0.000 0.000
```

final energy: -0.2934 Ry/atom
total moment: 0.51 μB per formula unit
symmetry: P-1, No. 2

No. 2
Mn2MoSe: relaxed, GGA-PBE.

POSCAR file:
```
Mn2MoSe
1.0
4.043 0.000 0.000
0.000 3.743 0.000
0.000 0.000 3.743
Mn Mo Se
2 1 1
Direct
0.000 0.500 0.500
0.000 0.000 0.000
0.500 0.500 0.000
0.500 0.000 0.500
```

formation energy (no corrections): 0.31 eV/atom
total moment: 4.99 μB per formula unit
symmetry: P4/mmm, No. 123

No. 3
NdSm4Ho2Th: relaxed, GGA-PBE.

POSCAR file:
```
NdSm4Ho2Th
1.0
-1.214 -1.257 4.784
-4.260 -2.223 -1.665
0.761 -11.069 -2.716
Ho Th Sm Nd
2 1 4 1
Direct
0.000 0.000 0.000
0.500 0.000 0.500
0.000 0.500 0.500
0.000 0.753 0.746
0.000 0.247 0.254
0.500 0.254 0.746
0.500 0.746 0.254
0.500 0.500 0.000
```

energy of formation: 0.8 kcal/mol of atoms
total moment: 0.00 μB per formula unit
symmetry: P4/mmm, No. 123

No. 4
Cu5Pt: relaxed, GGA-PBE.

POSCAR file:
```
Cu5Pt
1.0
3.733 0.000 0.000
1.866 5.481 0.000
0.000 0.000 3.700
Cu Pt
5 1
Direct
0.198 0.605 0.500
0.358 0.285 0.000
0.698 0.604 0.000
0.858 0.284 0.500
0.528 0.945 0.500
0.028 0.944 0.000
```

energy of formation: -2.4 kcal/mol of atoms
total moment: 0.00 μB per formula unit
symmetry: Cmmm, No. 65
energy above the most stable polymorph in this dataset: 0.000 eV/atom

No. 5
RbCrRuS3: relaxed, GGA-PBE.

POSCAR file:
```
RbCrRuS3
1.0
-0.336 3.475 0.895
-3.862 -2.204 7.107
9.523 0.786 0.523
S Cr Rb Ru
6 2 2 2
Direct
0.250 0.136 0.869
0.250 0.782 0.440
0.750 0.864 0.131
0.250 0.521 0.872
0.750 0.218 0.560
0.750 0.479 0.128
0.750 0.317 0.850
0.250 0.683 0.150
0.250 0.238 0.250
0.750 0.762 0.750
0.250 0.088 0.613
0.750 0.912 0.387
```

formation energy (no corrections): -0.68 eV/atom
total moment: 2.07 μB per formula unit
symmetry: P2_1/m, No. 11

No. 6
SrCe2ReN4: relaxed, GGA-PBE.

POSCAR file:
```
SrCe2ReN4
1.0
3.577 0.000 0.000
-1.789 6.035 0.000
0.000 0.000 12.461
N Re Ce Sr
8 2 4 2
Direct
0.747 0.494 0.607
0.395 0.790 0.750
0.000 0.000 0.500
0.253 0.506 0.107
0.000 0.000 0.000
0.253 0.506 0.393
0.747 0.494 0.893
0.605 0.210 0.250
0.187 0.374 0.250
0.813 0.626 0.750
0.367 0.734 0.547
0.633 0.266 0.453
0.633 0.266 0.047
0.367 0.734 0.953
0.928 0.855 0.250
0.072 0.145 0.750
```

formation energy (no corrections): -0.93 eV/atom
total moment: 0.00 μB per formula unit
symmetry: Cmcm, No. 63